A plane-wave DFT calculation with GGA-PBE was carried out for an optimized crystal structure of GaAg4Sb.

abc: 5.5918 5.5918 5.5918
angles: 60.00 60.00 60.00
Sites, in units of the cell vectors:
Sb 0.2500 0.2500 0.2500
Ga 0.0000 0.0000 0.0000
Ag 0.6253 0.6253 0.1241
Ag 0.6253 0.1241 0.6253
Ag 0.6253 0.6253 0.6253
Ag 0.1241 0.6253 0.6253

## Properties
- uncorrected formation energy (kcal/mol of atoms) = 2.935

=====

A plane-wave DFT calculation with GGA-PBE was carried out for an optimized crystal structure of GaAgSb2.

abc: 3.2918 3.2918 10.8128
angles: 81.24 81.24 60.00
Sites, in units of the cell vectors:
Sb 0.0865 0.0865 0.7406
Sb 0.9135 0.9135 0.2594
Ga 0.5000 0.5000 0.5000
Ag 0.0000 0.0000 0.0000

## Properties
- uncorrected formation energy (kcal/mol of atoms) = 4.623

=====

A plane-wave DFT calculation with GGA-PBE was carried out for an optimized crystal structure of GaAgSb.

abc: 3.1886 3.1886 6.7627
angles: 103.64 103.64 90.00
Sites, in units of the cell vectors:
Sb 0.0055 0.0055 0.0111
Ag 0.6774 0.6774 0.3547
Ga 0.3171 0.3171 0.6342

## Properties
- uncorrected formation energy (kcal/mol of atoms) = 2.680

=====

A plane-wave DFT calculation with GGA-PBE was carried out for an optimized crystal structure of GaAgSb3.

abc: 5.3099 5.3099 5.3099
angles: 90.00 90.00 90.00
Sites, in units of the cell vectors:
Sb 0.0000 0.5000 0.0000
Sb 0.0000 0.0000 0.5000
Sb 0.5000 0.0000 0.0000
Ga 0.0000 0.0000 0.0000
Ag 0.5000 0.5000 0.5000

## Properties
- uncorrected formation energy (kcal/mol of atoms) = 16.092

=====

A plane-wave DFT calculation with GGA-PBE was carried out for an optimized crystal structure of GaAg3Sb.

abc: 5.2731 5.2731 5.2731
angles: 90.00 90.00 90.00
Sites, in units of the cell vectors:
Sb 0.0000 0.0000 0.0000
Ga 0.5000 0.5000 0.5000
Ag 0.0000 0.5000 0.0000
Ag 0.0000 0.0000 0.5000
Ag 0.5000 0.0000 0.0000

## Properties
- uncorrected formation energy (kcal/mol of atoms) = 10.471

=====

A plane-wave DFT calculation with GGA-PBE was carried out for an optimized crystal structure of GaAgSb.

abc: 4.6549 4.6549 4.6549
angles: 60.00 60.00 60.00
Sites, in units of the cell vectors:
Sb 0.0000 0.0000 0.0000
Ga 0.5000 0.5000 0.5000
Ag 0.2500 0.2500 0.2500

## Properties
- uncorrected formation energy (kcal/mol of atoms) = 1.821

=====

A plane-wave DFT calculation with GGA-PBE was carried out for an optimized crystal structure of Ga2AgSbSe6.

abc: 7.0086 8.7479 8.7479
angles: 84.46 79.68 79.68
Sites, in units of the cell vectors:
Ga 0.2387 0.7933 0.6071
Ga 0.2613 0.3929 0.2067
Ga 0.7613 0.2067 0.3929
Ga 0.7387 0.6071 0.7933
Ag 0.2500 0.8900 0.1100
Ag 0.7500 0.1100 0.8900
Sb 0.2500 0.2625 0.7375
Sb 0.7500 0.7375 0.2625
Se 0.1216 0.9839 0.8090
Se 0.3784 0.1910 0.0161
Se 0.8784 0.0161 0.1910
Se 0.6216 0.8090 0.9839
Se 0.3889 0.9346 0.3769
Se 0.1111 0.6231 0.0654
Se 0.6111 0.0654 0.6231
Se 0.8889 0.3769 0.9346
Se 0.9503 0.6963 0.5603
Se 0.5497 0.4397 0.3037
Se 0.0497 0.3037 0.4397
Se 0.4503 0.5603 0.6963

## Properties
- uncorrected formation energy (kcal/mol of atoms) = -6.124

=====

A plane-wave DFT calculation with GGA-PBE was carried out for an optimized crystal structure of Sr2GaAgSb.

abc: 6.0232 5.1645 6.0232
angles: 90.00 90.00 90.00
Sites, in units of the cell vectors:
Sb 0.0000 0.5000 0.0000
Ga 0.5000 0.5000 0.5000
Ag 0.0000 0.0000 0.0000
Sr 0.0000 0.0000 0.5000
Sr 0.5000 0.0000 0.0000

## Properties
- uncorrected formation energy (kcal/mol of atoms) = -0.875

=====

Number 1: E_tot -2.965 eV/atom. Number 2: E_tot -3.330 eV/atom. Number 3: E_tot -3.217 eV/atom. Number 4: E_tot -2.951 eV/atom. Number 5: E_tot -2.687 eV/atom. Number 6: E_tot -3.255 eV/atom. Number 7: E_tot -3.659 eV/atom. Number 8: E_tot -2.711 eV/atom.